## HgPbAu2 (PBE)

Data for HgPbAu2 after structural relaxation.

## Properties
Formation energy = 0.06 eV per atom

Lattice parameters (Å, degrees): 5.0140 5.0140 3.5964 90.00 90.00 90.00
Space group P4/mmm (No. 123)
Symmetry-distinct sites (fractional):
Hg  0.0000  0.0000  0.0000 [1 per cell]
Pb  0.5000  0.5000  0.0000 [1 per cell]
Au  0.0000  0.5000  0.5000 [2 per cell]

=====

## CrSi2Ag (PBE)

Data for CrSi2Ag after structural relaxation.

## Properties
ΔE_f (raw) = 29.4 kJ per mole of atoms

Lattice parameters (Å, degrees): 3.8148 3.8635 7.5834 90.00 90.00 90.00
Space group Immm (No. 71)
Symmetry-distinct sites (fractional):
Cr  0.0000  0.0000  0.0000 [2 per cell]
Si  0.0000  0.5000  0.2508 [4 per cell]
Ag  0.0000  0.0000  0.5000 [2 per cell]

=====

## Ca2Mg2Cd3 (PBE)

Data for Ca2Mg2Cd3 after structural relaxation.

## Properties
Formation energy = -0.19 eV per atom

Lattice parameters (Å, degrees): 3.7393 27.5611 3.5774 90.00 90.00 90.00
Space group Cmmm (No. 65)
Symmetry-distinct sites (fractional):
Ca  0.0000  0.0728  0.0000 [4 per cell]
Mg  0.0000  0.2058  0.0000 [4 per cell]
Cd  0.0000  0.3518  0.5000 [4 per cell]
Cd  0.0000  0.5000  0.5000 [2 per cell]

=====

| no. | E_tot (eV per atom) |
| --- | --- |
| 1 | -2.58 |
| 2 | -5.53 |
| 3 | -1.61 |